Record 1
Here is crystalline ZnCuSiAg at its relaxed geometry from OQMD via LeMat-Bulk. Energies are from PBE-GGA.

a b c (Å): 4.388 4.388 4.388
angles (deg): 60.00 60.00 60.00
Sites, in units of the cell vectors:
Ag 0.250 0.250 0.250
Cu 0.750 0.750 0.750
Si 0.000 0.000 0.000
Zn 0.500 0.500 0.500

Summary:
The value obtained for the offset from the most stable computed form is 0 meV per atom. The space-group type is No. 216.


Record 2
Here is crystalline Sm2CuAgSn2 at its relaxed geometry from OQMD via LeMat-Bulk. Energies are from PBE-GGA.

a b c (Å): 4.701 4.701 7.504
angles (deg): 90.00 90.00 120.00
Sites, in units of the cell vectors:
Ag 0.000 0.000 0.806
Cu 0.667 0.333 0.311
Sm 0.333 0.667 0.001
Sm 0.333 0.667 0.494
Sn 0.000 0.000 0.230
Sn 0.667 0.333 0.715

Summary:
The space-group type is No. 156. The value obtained for the size of the total moment is 0.01 μB per cell.


Record 3
Here is crystalline Cu2AgSn2 at its relaxed geometry from OQMD via LeMat-Bulk. Energies are from PBE-GGA.

a b c (Å): 6.240 6.240 6.240
angles (deg): 139.03 139.03 59.33
Sites, in units of the cell vectors:
Ag 0.000 0.000 0.000
Cu 0.391 0.391 0.000
Cu 0.609 0.609 0.000
Sn 0.750 0.250 0.500
Sn 0.250 0.750 0.500

Summary:
The space-group type is No. 139.


Record 4
Here is crystalline CuAgSn at its relaxed geometry from OQMD via LeMat-Bulk. Energies are from PBE-GGA.

a b c (Å): 4.374 4.374 4.374
angles (deg): 60.00 60.00 60.00
Sites, in units of the cell vectors:
Ag 0.250 0.250 0.250
Cu 0.000 0.000 0.000
Sn 0.750 0.750 0.750

Summary:
The value obtained for the offset from the most stable computed form is 0 meV per atom. The space-group type is No. 216.


Record 5
Here is crystalline CuAgSn2 at its relaxed geometry from OQMD via LeMat-Bulk. Energies are from PBE-GGA.

a b c (Å): 4.941 4.941 4.941
angles (deg): 60.00 60.00 60.00
Sites, in units of the cell vectors:
Ag 0.500 0.500 0.500
Cu 0.250 0.250 0.250
Sn 0.000 0.000 0.000
Sn 0.750 0.750 0.750

Summary:
The space-group type is No. 216.


Record 6
Here is crystalline Tb2CuAgSn2 at its relaxed geometry from OQMD via LeMat-Bulk. Energies are from PBE-GGA.

a b c (Å): 4.661 4.661 7.380
angles (deg): 90.00 90.00 120.00
Sites, in units of the cell vectors:
Ag 0.000 0.000 0.963
Cu 0.333 0.667 0.460
Sn 0.333 0.667 0.058
Sn 0.000 0.000 0.544
Tb 0.667 0.333 0.280
Tb 0.667 0.333 0.771

Summary:
The space-group type is No. 156. The value obtained for the size of the total moment is 0.00 μB per cell.


Record 7
Here is crystalline CuTcAgSn at its relaxed geometry from OQMD via LeMat-Bulk. Energies are from PBE-GGA.

a b c (Å): 4.530 4.530 4.530
angles (deg): 60.00 60.00 60.00
Sites, in units of the cell vectors:
Ag 0.500 0.500 0.500
Cu 0.750 0.750 0.750
Sn 0.000 0.000 0.000
Tc 0.250 0.250 0.250

Summary:
The value obtained for the offset from the most stable computed form is 0 meV per atom. The space-group type is No. 216. The value obtained for the size of the total moment is 0.01 μB per cell.


Record 8
Here is crystalline ZnCuAgSnTe4 at its relaxed geometry from OQMD via LeMat-Bulk. Energies are from PBE-GGA.

a b c (Å): 7.694 7.694 7.694
angles (deg): 131.61 131.61 70.85
Sites, in units of the cell vectors:
Ag 0.250 0.750 0.500
Cu 0.750 0.250 0.500
Sn 0.000 0.000 0.000
Te 0.622 0.142 0.027
Te 0.858 0.885 0.480
Te 0.405 0.378 0.520
Te 0.115 0.595 0.973
Zn 0.500 0.500 0.000

Summary:
The space-group type is No. 82.


Uncorrected energy for the records above, in order: -3.097 -4.600 -3.326 -3.470 -3.374 -4.566 -4.908 -3.270 eV per atom